Version one
Here is PtAu2I after structural relaxation from the Alexandria database. Energies are from PBE.

Results
volume = 353.93 Å³/cell

a b c (Å): 8.0256 8.0256 5.4950
angles (deg): 90.00 90.00 90.00
Space group I-42d (No. 122)
One atom of each set of equivalent atoms:
1 Pt 0.0000 0.0000 0.0000
2 Au 0.2212 0.2500 0.1250
3 I 0.0000 0.0000 0.5000

Version two
Here is PtAu2I after structural relaxation from the Alexandria database. Energies are from PBE.

Results
volume = 327.51 Å³/cell

a b c (Å): 6.8930 6.8930 6.8930
angles (deg): 90.00 90.00 90.00
Space group Fm-3m (No. 225)
One atom of each set of equivalent atoms:
1 Pt 0.0000 0.0000 0.0000
2 Au 0.2500 0.2500 0.2500
3 I 0.0000 0.0000 0.5000

Stability, highest: version one

Version one
Here is Sb2PtAuI after structural relaxation from the Alexandria database. Energies are from PBE.

Results
volume = 152.08 Å³/cell

a b c (Å): 5.2513 5.2513 5.5149
angles (deg): 90.00 90.00 90.00
Space group P4/mmm (No. 123)
One atom of each set of equivalent atoms:
1 Sb 0.0000 0.5000 0.0000
2 Pt 0.0000 0.0000 0.0000
3 Au 0.5000 0.5000 0.5000
4 I 0.0000 0.0000 0.5000

Version two
Here is Sb2PtAuI after structural relaxation from the Alexandria database. Energies are from PBE.

Results
volume = 148.43 Å³/cell

a b c (Å): 5.3528 5.3528 5.1805
angles (deg): 90.00 90.00 90.00
Space group P4/mmm (No. 123)
One atom of each set of equivalent atoms:
1 Sb 0.0000 0.5000 0.0000
2 Pt 0.0000 0.0000 0.5000
3 Au 0.0000 0.0000 0.0000
4 I 0.5000 0.5000 0.5000

Stability, highest: version one

Version one
Here is RbAuI2 after structural relaxation from the Alexandria database. Energies are from PBE.

Results
volume = 657.59 Å³/cell

a b c (Å): 8.6901 8.6901 8.7077
angles (deg): 90.00 90.00 90.00
Space group I-42d (No. 122)
One atom of each set of equivalent atoms:
1 Rb 0.0000 0.0000 0.0000
2 Au 0.0000 0.0000 0.5000
3 I 0.1698 0.2500 0.6250

Version two
Here is RbAuI2 after structural relaxation from the Alexandria database. Energies are from PBE.

Results
volume = 557.32 Å³/cell

a b c (Å): 8.2294 8.2294 8.2294
angles (deg): 90.00 90.00 90.00
Space group Fm-3m (No. 225)
One atom of each set of equivalent atoms:
1 Rb 0.0000 0.0000 0.0000
2 Au 0.0000 0.0000 0.5000
3 I 0.2500 0.2500 0.2500

Stability, highest: version one

Version one
Here is Rb3AuI after structural relaxation from the Alexandria database. Energies are from PBE.

Results
volume = 494.68 Å³/cell

a b c (Å): 9.9566 4.9819 10.2809
angles (deg): 90.00 104.06 90.00
Space group P2_1/m (No. 11)
One atom of each set of equivalent atoms:
1 Rb 0.0952 0.2500 0.2523
2 Rb 0.2776 0.2500 0.9302
3 Rb 0.3080 0.7500 0.5767
4 Au 0.0565 0.2500 0.5783
5 I 0.4169 0.7500 0.2276

Version two
Here is Rb3AuI after structural relaxation from the Alexandria database. Energies are from PBE.

Results
volume = 292.16 Å³/cell

a b c (Å): 6.6355 6.6355 6.6355
angles (deg): 90.00 90.00 90.00
Space group Pm-3m (No. 221)
One atom of each set of equivalent atoms:
1 Rb 0.0000 0.0000 0.5000
2 Au 0.0000 0.0000 0.0000
3 I 0.5000 0.5000 0.5000

Stability, highest: version one

Version one
Here is RbAu2I2 after structural relaxation from the Alexandria database. Energies are from PBE.

Results
volume = 334.12 Å³/cell

a b c (Å): 5.6614 5.6614 10.4246
angles (deg): 90.00 90.00 90.00
Space group I4/mmm (No. 139)
One atom of each set of equivalent atoms:
1 Rb 0.0000 0.0000 0.0000
2 Au 0.0000 0.0000 0.3699
3 I 0.0000 0.5000 0.2500

Version two
Here is RbAu2I2 after structural relaxation from the Alexandria database. Energies are from PBE.

Results
volume = 319.31 Å³/cell

a b c (Å): 4.1467 4.1467 18.5699
angles (deg): 90.00 90.00 90.00
Space group I4/mmm (No. 139)
One atom of each set of equivalent atoms:
1 Rb 0.0000 0.0000 0.0000
2 Au 0.0000 0.5000 0.2500
3 I 0.0000 0.0000 0.3843

Stability, highest: version two

Version one
Here is RbAu3I after structural relaxation from the Alexandria database. Energies are from PBE.

Results
volume = 208.27 Å³/cell

a b c (Å): 5.9276 5.9276 5.9276
angles (deg): 90.00 90.00 90.00
Space group Pm-3m (No. 221)
One atom of each set of equivalent atoms:
1 Rb 0.0000 0.0000 0.0000
2 Au 0.0000 0.0000 0.5000
3 I 0.5000 0.5000 0.5000

Version two
Here is RbAu3I after structural relaxation from the Alexandria database. Energies are from PBE.

Results
volume = 180.05 Å³/cell

a b c (Å): 5.6467 5.6467 5.6467
angles (deg): 90.00 90.00 90.00
Space group Pm-3m (No. 221)
One atom of each set of equivalent atoms:
1 Rb 0.0000 0.0000 0.0000
2 Au 0.0000 0.5000 0.5000
3 I 0.5000 0.5000 0.5000

Stability, highest: version two